Material: Sr3HfZn
Method: DFT, PBE-GGA
State: relaxed

formation energy from the elements = 15.89 kcal/mol of atoms
E above lowest polymorph = 0.000 eV/atom

a b c (Å): 5.9559 5.9559 5.9559
angles (deg): 90.00 90.00 90.00
Space group Pm-3m (No. 221)
Inequivalent atoms, fractional coordinates:
Sr 0.0000 0.0000 0.5000 [3 per cell]
Hf 0.5000 0.5000 0.5000 [1 per cell]
Zn 0.0000 0.0000 0.0000 [1 per cell]